An optimized crystal structure of Ho2ThSc4. Source: Alexandria, functional PBE-GGA.

Geometry as POSCAR:
```
Ho2ThSc4
1.0
-1.873 -0.321 2.867
-5.995 -2.117 -4.153
1.814 -7.365 0.361
Ho Th Sc
2 1 4
Direct
0.000 0.804 0.196
0.000 0.196 0.804
0.500 0.500 0.500
0.000 0.760 0.760
0.000 0.240 0.240
0.500 0.000 0.500
0.500 0.500 0.000
```

Computed properties:
Polymorph energy (0 for the lowest one), eV per formula unit: 0.000
VASP energy, eV per atom: -5.810


An optimized crystal structure of HoThSc. Source: Alexandria, functional PBE-GGA.

Geometry as POSCAR:
```
HoThSc
1.0
-1.015 -2.017 -2.673
-3.477 -1.399 4.665
-8.511 4.416 -0.100
Ho Th Sc
2 2 2
Direct
0.667 0.335 0.408
0.333 0.665 0.592
0.996 0.993 0.243
0.004 0.007 0.757
0.330 0.661 0.077
0.670 0.339 0.923
```

Computed properties:
Polymorph energy (0 for the lowest one), eV per formula unit: 0.043
VASP energy, eV per atom: -6.056


An optimized crystal structure of HoTh2Sc2. Source: Alexandria, functional PBE-GGA.

Geometry as POSCAR:
```
HoTh2Sc2
1.0
-0.635 5.973 -0.686
-6.721 -0.858 -1.242
-2.879 3.275 13.315
Ho Th Sc
4 8 8
Direct
0.645 0.379 0.300
0.355 0.621 0.700
0.145 0.121 0.300
0.855 0.879 0.700
0.876 0.126 0.098
0.376 0.374 0.098
0.624 0.626 0.902
0.124 0.874 0.902
0.246 0.374 0.503
0.746 0.126 0.503
0.254 0.874 0.497
0.754 0.626 0.497
0.610 0.130 0.899
0.110 0.370 0.899
0.890 0.630 0.101
0.390 0.870 0.101
0.147 0.626 0.299
0.647 0.874 0.299
0.353 0.126 0.701
0.853 0.374 0.701
```

Computed properties:
Polymorph energy (0 for the lowest one), eV per formula unit: 0.000
VASP energy, eV per atom: -6.385